VASP calculation (PBE-GGA) on an optimized crystal structure of BaErTe4.

Cell and atoms, written as POSCAR:
```
BaErTe4
1.0
6.978 0.000 0.000
0.000 6.978 0.000
0.000 0.000 8.395
Ba Er Te
2 2 8
direct
0.250 0.250 0.000
0.750 0.750 0.000
0.250 0.250 0.500
0.750 0.750 0.500
0.098 0.598 0.288
0.098 0.902 0.712
0.402 0.598 0.712
0.402 0.902 0.288
0.598 0.098 0.712
0.598 0.402 0.288
0.902 0.098 0.288
0.902 0.402 0.712
```

Calculated values
SG = P4/nbm, No. 125
magnetization = 0.00 μB per cell
energy relative to the elements, uncorrected = -1.0852 eV per atom
total energy = -0.3132 Ry per atom